DFT (PBE-GGA) results for an optimized crystal structure of Ce3Ni4P4.

It has space group Immm (No. 71), with a = 3.926 Å, b = 3.978 Å, c = 22.913 Å, α = 90.00°, β = 90.00° and γ = 90.00°. Symmetry generates all atoms from Ce at (0.000, 0.000, 0.000), Ce at (0.000, 0.500, 0.351), Ni at (0.000, 0.000, 0.250), Ni at (0.000, 0.500, 0.097), P at (0.000, 0.000, 0.448) and P at (0.000, 0.500, 0.196).

Its magnetic moment is 0.07 μB per atom. The final energy is -6.80 eV/atom. The formation energy comes out at -1108 meV/atom. The crystal system is orthorhombic.

=====

DFT (PBE-GGA) results for an optimized crystal structure of CeNi5P3.

It has space group Cmcm (No. 63), with a = 3.603 Å, b = 11.692 Å, c = 11.370 Å, α = 90.00°, β = 90.00° and γ = 90.00°. Symmetry generates all atoms from Ce at (0.000, 0.157, 0.250), Ni at (0.000, 0.000, 0.000), Ni at (0.000, 0.200, 0.567), Ni at (0.000, 0.443, 0.144), P at (0.000, 0.120, 0.750) and P at (0.000, 0.383, 0.545).

Its magnetic moment is 0.04 μB per atom. The final energy is -6.47 eV/atom. The formation energy comes out at -796 meV/atom. The crystal system is orthorhombic.